VASP calculation (SCAN) on KLiPt4 at its PBEsol-relaxed geometry.

Lattice parameters (Å, degrees): 5.324 5.324 5.324 60.00 60.00 60.00
Fractional positions:
Pt1 0.375 0.375 0.876
Pt2 0.876 0.375 0.375
K1 0.750 0.750 0.750
Li1 0.000 0.000 0.000
Pt3 0.375 0.876 0.375
Pt4 0.375 0.375 0.375

Results
Crystal system: cubic
Calculated density in g cm⁻³: 12.9
DFT total energy in eV per atom: -48.95
Symmetry: F-43m
Volume in Å³ per cell: 107


VASP calculation (SCAN) on KLiPt2 at its PBEsol-relaxed geometry.

Lattice parameters (Å, degrees): 2.773 4.914 5.693 114.83 102.87 92.76
Fractional positions:
Li1 0.000 0.500 0.000
K1 0.500 0.000 0.000
Pt1 0.500 0.500 0.500
Pt2 0.000 0.000 0.500

Results
Crystal system: monoclinic
Calculated density in g cm⁻³: 10.7
Energy above the most stable polymorph in this dataset in meV/atom: 51
DFT total energy in eV per atom: -37.83
Symmetry: C2/m
Volume in Å³ per cell: 68